(1)
DFT (PBE) results for crystalline Pm4PCS2 at its relaxed geometry.

Structure (POSCAR):
```
Pm4PCS2
1.0
6.933 0.000 0.000
0.000 3.968 0.000
-2.276 0.000 6.603
Pm P C S
4 1 1 2
direct
0.227 0.000 0.224
0.239 0.500 0.768
0.761 0.500 0.232
0.773 0.000 0.776
0.500 0.000 0.000
0.000 0.500 0.000
0.000 0.000 0.500
0.500 0.500 0.500
```

- uncorrected energy (Ha/atom) = -0.2473
- symmetry = P2/m (10)
- energy relative to the elements, uncorrected (eV per atom) = -1.492
- total magnetic moment (μB per atom) = 0.000

***

(2)
DFT (PBE) results for crystalline Dy5TlRu2 at its relaxed geometry.

Structure (POSCAR):
```
Dy5TlRu2
1.0
-3.864 3.864 6.839
3.864 -3.864 6.839
3.864 3.864 -6.839
Dy Tl Ru
10 2 4
direct
0.000 0.000 0.000
0.028 0.528 0.818
0.209 0.028 0.500
0.291 0.791 0.818
0.472 0.291 0.500
0.500 0.500 0.000
0.528 0.709 0.500
0.709 0.209 0.182
0.791 0.972 0.500
0.972 0.472 0.182
0.250 0.250 0.000
0.750 0.750 0.000
0.142 0.358 0.500
0.358 0.858 0.215
0.642 0.142 0.785
0.858 0.642 0.500
```

- uncorrected energy (Ha/atom) = -0.2161
- symmetry = I4/mcm (140)
- E_form (eV per atom) = -0.388
- total magnetic moment (μB per atom) = 0.000